# 1
## PrYI2 (GGA-PBE)

Data for a relaxed structure of PrYI2.

CIF file:
```
data_PrYI2
_chemical_formula_sum 'Pr3 Y3 I6'
_space_group_name_H-M_alt 'R -3 m'
_space_group_IT_number 166
_space_group_name_Hall '-R 3 2"'
_cell_length_a 3.8827
_cell_length_b 3.8827
_cell_length_c 32.6562
_cell_angle_alpha 90.00
_cell_angle_beta 90.00
_cell_angle_gamma 120.00
loop_
_atom_site_label
_atom_site_fract_x
_atom_site_fract_y
_atom_site_fract_z
Pr1 0.0000 0.0000 0.0000
Y1 0.0000 0.0000 0.5000
I1 0.0000 0.0000 0.0999
```

## Properties
The value obtained for the excess energy over the best structure of this formula in the dataset is 0.089 eV per atom. The formation energy (no corrections) comes out at -699 meV/atom. As for the mass density: 5.65 g/cm3.

***

# 2
## Ba2Zn15Au2 (GGA-PBE)

Data for a relaxed structure of Ba2Zn15Au2.

CIF file:
```
data_Ba2Zn15Au2
_chemical_formula_sum 'Ba6 Zn45 Au6'
_space_group_name_H-M_alt 'R -3 m'
_space_group_IT_number 166
_space_group_name_Hall '-R 3 2"'
_cell_length_a 9.3838
_cell_length_b 9.3838
_cell_length_c 13.8723
_cell_angle_alpha 90.00
_cell_angle_beta 90.00
_cell_angle_gamma 120.00
loop_
_atom_site_label
_atom_site_fract_x
_atom_site_fract_y
_atom_site_fract_z
Ba1 0.0000 0.0000 0.1567
Zn1 0.0000 0.2815 0.5000
Zn2 0.0000 0.5000 0.0000
Zn3 0.0019 0.5009 0.3425
Au1 0.0000 0.0000 0.3930
```

## Properties
As for the mass density: 7.77 g/cm3. The calculation puts the calculated formation energy at -0.197 eV per atom.

***

# 3
## Nd3YPu2Se6 (GGA-PBE)

Data for a relaxed structure of Nd3YPu2Se6.

CIF file:
```
data_Nd3YPu2Se6
_chemical_formula_sum 'Nd6 Y2 Pu4 Se12'
_space_group_name_H-M_alt 'C 1 2/m 1'
_space_group_IT_number 12
_cell_length_a 7.2095
_cell_length_b 12.4922
_cell_length_c 7.2758
_cell_angle_alpha 90.00
_cell_angle_beta 109.29
_cell_angle_gamma 90.00
loop_
_space_group_symop_operation_xyz
'x,y,z'
'-x,-y,-z'
'-x,y,-z'
'x,-y,z'
'x+1/2,y+1/2,z'
'-x+1/2,-y+1/2,-z'
'-x+1/2,y+1/2,-z'
'x+1/2,-y+1/2,z'
loop_
_atom_site_label
_atom_site_fract_x
_atom_site_fract_y
_atom_site_fract_z
Nd1 0.0000 0.0000 0.0000
Nd2 0.0000 0.3323 0.0000
Y1 0.0000 0.5000 0.5000
Pu1 0.0000 0.1664 0.5000
Se1 0.2457 0.3342 0.7401
Se2 0.2493 0.0000 0.7422
```

## Properties
The formation energy (no corrections) comes out at -1743 meV/atom. As for the mass density: 7.97 g/cm3.

***

# 4
## Ca2PmNd (GGA-PBE)

Data for a relaxed structure of Ca2PmNd.

CIF file:
```
data_Ca2PmNd
_chemical_formula_sum 'Ca2 Pm1 Nd1'
_space_group_name_H-M_alt 'P 4/m m m'
_space_group_IT_number 123
_space_group_name_Hall '-P 4 2'
_cell_length_a 5.1358
_cell_length_b 5.1358
_cell_length_c 5.6341
_cell_angle_alpha 90.00
_cell_angle_beta 90.00
_cell_angle_gamma 90.00
loop_
_atom_site_label
_atom_site_fract_x
_atom_site_fract_y
_atom_site_fract_z
Ca1 0.0000 0.5000 0.0000
Pm1 0.0000 0.0000 0.5000
Nd1 0.5000 0.5000 0.5000
```

## Properties
The value obtained for the excess energy over the best structure of this formula in the dataset is 0.084 eV per atom. As for the mass density: 4.13 g/cm3. The calculation puts the calculated formation energy at 0.121 eV per atom.

***

# 5
## SmDyBiO2 (GGA-PBE)

Data for a relaxed structure of SmDyBiO2.

CIF file:
```
data_SmDyBiO2
_chemical_formula_sum 'Sm2 Dy2 Bi2 O4'
_space_group_name_H-M_alt 'I 4 m m'
_space_group_IT_number 107
_space_group_name_Hall 'I 4 -2'
_cell_length_a 3.9303
_cell_length_b 3.9303
_cell_length_c 13.7355
_cell_angle_alpha 90.00
_cell_angle_beta 90.00
_cell_angle_gamma 90.00
loop_
_atom_site_label
_atom_site_fract_x
_atom_site_fract_y
_atom_site_fract_z
Sm1 0.0000 0.0000 0.0000
Dy1 0.0000 0.0000 0.3351
Bi1 0.0000 0.0000 0.6684
O1 0.0000 0.5000 0.4133
```

## Properties
The formation energy (no corrections) comes out at -2648 meV/atom. As for the mass density: 8.67 g/cm3.

***

# 6
## BeCd2Ag (GGA-PBE)

Data for a relaxed structure of BeCd2Ag.

CIF file:
```
data_BeCd2Ag
_chemical_formula_sum 'Be1 Cd2 Ag1'
_space_group_name_H-M_alt 'P 4 m m'
_space_group_IT_number 99
_cell_length_a 3.0573
_cell_length_b 3.0573
_cell_length_c 7.3129
_cell_angle_alpha 90.00
_cell_angle_beta 90.00
_cell_angle_gamma 90.00
loop_
_space_group_symop_operation_xyz
'x,y,z'
'-y,x,z'
'-x,-y,z'
'y,-x,z'
'-x,y,z'
'y,x,z'
'x,-y,z'
'-y,-x,z'
loop_
_atom_site_label
_atom_site_fract_x
_atom_site_fract_y
_atom_site_fract_z
Be1 0.0000 0.0000 0.0000
Cd1 0.0000 0.0000 0.5403
Cd2 0.5000 0.5000 0.2304
Ag1 0.5000 0.5000 0.8239
```

## Properties
As for the mass density: 8.30 g/cm3. The calculation puts the calculated formation energy at 0.157 eV per atom.

***

> What is the mass density in the fourth record?

4.13 g/cm3

***

Repeat the first record exactly.
## PrYI2 (GGA-PBE)

Data for a relaxed structure of PrYI2.

CIF file:
```
data_PrYI2
_chemical_formula_sum 'Pr3 Y3 I6'
_space_group_name_H-M_alt 'R -3 m'
_space_group_IT_number 166
_space_group_name_Hall '-R 3 2"'
_cell_length_a 3.8827
_cell_length_b 3.8827
_cell_length_c 32.6562
_cell_angle_alpha 90.00
_cell_angle_beta 90.00
_cell_angle_gamma 120.00
loop_
_atom_site_label
_atom_site_fract_x
_atom_site_fract_y
_atom_site_fract_z
Pr1 0.0000 0.0000 0.0000
Y1 0.0000 0.0000 0.5000
I1 0.0000 0.0000 0.0999
```

## Properties
The value obtained for the excess energy over the best structure of this formula in the dataset is 0.089 eV per atom. The formation energy (no corrections) comes out at -699 meV/atom. As for the mass density: 5.65 g/cm3.

***

> The lowest mass density belongs to which entry?

Ca2PmNd